Entry 1:
The following is a DFT calculation (GGA-PBEsol) of a relaxed structure of Pr3IrI3.

The structure in CIF format:
```
data_Pr3IrI3
_chemical_formula_sum 'Pr24 Ir8 I24'
_symmetry_space_group_name_H-M 'I 41 3 2'
_symmetry_Int_Tables_number 214
_symmetry_space_group_name_Hall 'I 4bd 2c 3'
_cell_length_a 12.326
_cell_length_b 12.326
_cell_length_c 12.326
_cell_angle_alpha 90.00
_cell_angle_beta 90.00
_cell_angle_gamma 90.00
loop_
_atom_site_label
_atom_site_fract_x
_atom_site_fract_y
_atom_site_fract_z
Pr1 0.105 0.355 0.125
Ir1 0.125 0.125 0.125
I1 0.114 0.136 0.625
```

Values from the calculation:
Its total energy is -5.51 eV/atom. As for the energy relative to the elements, uncorrected: -1.13 eV/atom.

Entry 2:
The following is a DFT calculation (GGA-PBEsol) of a relaxed structure of MgFe2As.

The structure in CIF format:
```
data_MgFe2As
_chemical_formula_sum 'Mg2 Fe4 As2'
_symmetry_space_group_name_H-M 'I -4 m 2'
_symmetry_Int_Tables_number 119
_symmetry_space_group_name_Hall 'I -4 -2'
_cell_length_a 3.707
_cell_length_b 3.707
_cell_length_c 7.638
_cell_angle_alpha 90.00
_cell_angle_beta 90.00
_cell_angle_gamma 90.00
loop_
_atom_site_label
_atom_site_fract_x
_atom_site_fract_y
_atom_site_fract_z
Mg1 0.000 0.000 0.000
Fe1 0.000 0.000 0.500
Fe2 0.000 0.500 0.750
As1 0.000 0.500 0.250
```

Values from the calculation:
Its total energy is -6.10 eV/atom. The calculated formation energy is 0.084 eV/atom.

Entry 3:
The following is a DFT calculation (GGA-PBEsol) of a relaxed structure of Ta2Tl.

The structure in CIF format:
```
data_Ta2Tl
_chemical_formula_sum 'Ta2 Tl1'
_symmetry_space_group_name_H-M 'P -3 m 1'
_symmetry_Int_Tables_number 164
_symmetry_space_group_name_Hall '-P 3 2"'
_cell_length_a 2.9859
_cell_length_b 2.9859
_cell_length_c 7.4957
_cell_angle_alpha 90.00
_cell_angle_beta 90.00
_cell_angle_gamma 120.00
loop_
_atom_site_label
_atom_site_fract_x
_atom_site_fract_y
_atom_site_fract_z
Ta1 0.3333 0.6667 0.3351
Tl1 0.0000 0.0000 0.0000
```

Values from the calculation:
Its total energy is -8.79 eV/atom. The calculated formation energy is 0.451 eV/atom.